[1]
Crystalline PaAlP at its relaxed geometry. Source: Alexandria via LeMat-Bulk, functional PBE.

It has space group R-3m (No. 166, hexagonal axes), with a = 4.6561 Å, b = 4.6561 Å, c = 21.1421 Å, α = 90.00°, β = 90.00° and γ = 120.00°. Symmetry generates all atoms from Pa at (0.0000, 0.0000, 0.0867), Al at (0.0000, 0.0000, 0.3364) and P at (0.0000, 0.0000, 0.2177).


[2]
Crystalline Pa2AlP at its relaxed geometry. Source: Alexandria via LeMat-Bulk, functional PBE.

It has space group R-3m (No. 166, hexagonal axes), with a = 3.3412 Å, b = 3.3412 Å, c = 30.2418 Å, α = 90.00°, β = 90.00° and γ = 120.00°. Symmetry generates all atoms from Pa at (0.0000, 0.0000, 0.1029), Al at (0.0000, 0.0000, 0.0000) and P at (0.0000, 0.0000, 0.5000).


[3]
Crystalline AlPPb3 at its relaxed geometry. Source: Alexandria via LeMat-Bulk, functional PBE.

Its offset from the most stable computed form is 0.094 eV per atom.

It has space group Pm-3m (No. 221), with a = 5.3533 Å, b = 5.3533 Å, c = 5.3533 Å, α = 90.00°, β = 90.00° and γ = 90.00°. Symmetry generates all atoms from Al at (0.0000, 0.0000, 0.0000), P at (0.5000, 0.5000, 0.5000) and Pb at (0.0000, 0.0000, 0.5000).


| no. | formation energy from the elements (eV/atom) | final energy (eV/atom) |
| --- | --- | --- |
| 1 | -0.573 | -6.789 |
| 2 | -0.052 | -7.088 |
| 3 | 0.673 | -3.382 |